(1)
A plane-wave DFT calculation with PBE was carried out for an optimized crystal structure of Sn2RuCl.

The structure in CIF format:
```
data_Sn2RuCl
_cell_length_a 7.706
_cell_length_b 7.706
_cell_length_c 7.706
_cell_angle_alpha 131.39
_cell_angle_beta 131.39
_cell_angle_gamma 71.20
_space_group_name_H-M_alt 'P 1'
_space_group_IT_number 1
loop_
_space_group_symop_operation_xyz
'x,y,z'
loop_
_atom_site_label
_atom_site_type_symbol
_atom_site_fract_x
_atom_site_fract_y
_atom_site_fract_z
Sn1 Sn 0.060 0.625 0.935
Sn2 Sn 0.375 0.310 0.435
Sn3 Sn 0.690 0.125 0.065
Sn4 Sn 0.875 0.940 0.565
Ru1 Ru 0.000 0.000 0.000
Ru2 Ru 0.750 0.250 0.500
Cl1 Cl 0.250 0.750 0.500
Cl2 Cl 0.500 0.500 0.000
```

Summary:
DOS at the Fermi energy, states/eV per atom: 0.58
Crystal system: tetragonal
SG: I-42d
E, eV per atom: -4.614

(2)
A plane-wave DFT calculation with PBE was carried out for an optimized crystal structure of SnRuCl3.

The structure in CIF format:
```
data_SnRuCl3
_cell_length_a 5.452
_cell_length_b 5.452
_cell_length_c 5.452
_cell_angle_alpha 90.00
_cell_angle_beta 90.00
_cell_angle_gamma 90.00
_space_group_name_H-M_alt 'P 1'
_space_group_IT_number 1
loop_
_space_group_symop_operation_xyz
'x,y,z'
loop_
_atom_site_label
_atom_site_type_symbol
_atom_site_fract_x
_atom_site_fract_y
_atom_site_fract_z
Sn1 Sn 0.000 0.000 0.000
Ru1 Ru 0.500 0.500 0.500
Cl1 Cl 0.000 0.000 0.500
Cl2 Cl 0.000 0.500 0.000
Cl3 Cl 0.500 0.000 0.000
```

Summary:
DOS at the Fermi energy, states/eV per atom: 0.14
Crystal system: cubic
Polymorph energy (0 for the lowest one), eV per formula unit: 2.11
SG: Pm-3m
E, eV per atom: -3.420

(3)
A plane-wave DFT calculation with PBE was carried out for an optimized crystal structure of SnRuCl3.

The structure in CIF format:
```
data_SnRuCl3
_cell_length_a 4.801
_cell_length_b 4.801
_cell_length_c 4.801
_cell_angle_alpha 90.00
_cell_angle_beta 90.00
_cell_angle_gamma 90.00
_space_group_name_H-M_alt 'P 1'
_space_group_IT_number 1
loop_
_space_group_symop_operation_xyz
'x,y,z'
loop_
_atom_site_label
_atom_site_type_symbol
_atom_site_fract_x
_atom_site_fract_y
_atom_site_fract_z
Sn1 Sn 0.000 0.000 0.000
Ru1 Ru 0.500 0.500 0.500
Cl1 Cl 0.000 0.500 0.500
Cl2 Cl 0.500 0.000 0.500
Cl3 Cl 0.500 0.500 0.000
```

Summary:
DOS at the Fermi energy, states/eV per atom: 0.62
Crystal system: cubic
Polymorph energy (0 for the lowest one), eV per formula unit: 0.00
SG: Pm-3m
E, eV per atom: -3.841

(4)
A plane-wave DFT calculation with PBE was carried out for an optimized crystal structure of SnRu3Cl.

The structure in CIF format:
```
data_SnRu3Cl
_cell_length_a 4.430
_cell_length_b 4.430
_cell_length_c 4.430
_cell_angle_alpha 90.00
_cell_angle_beta 90.00
_cell_angle_gamma 90.00
_space_group_name_H-M_alt 'P 1'
_space_group_IT_number 1
loop_
_space_group_symop_operation_xyz
'x,y,z'
loop_
_atom_site_label
_atom_site_type_symbol
_atom_site_fract_x
_atom_site_fract_y
_atom_site_fract_z
Sn1 Sn 0.000 0.000 0.000
Ru1 Ru 0.000 0.500 0.500
Ru2 Ru 0.500 0.000 0.500
Ru3 Ru 0.500 0.500 0.000
Cl1 Cl 0.500 0.500 0.500
```

Summary:
DOS at the Fermi energy, states/eV per atom: 1.25
Crystal system: cubic
Polymorph energy (0 for the lowest one), eV per formula unit: 0.00
SG: Pm-3m
E, eV per atom: -5.735

(5)
A plane-wave DFT calculation with PBE was carried out for an optimized crystal structure of Sr3RuCl.

The structure in CIF format:
```
data_Sr3RuCl
_cell_length_a 5.773
_cell_length_b 5.773
_cell_length_c 5.773
_cell_angle_alpha 90.00
_cell_angle_beta 90.00
_cell_angle_gamma 90.00
_space_group_name_H-M_alt 'P 1'
_space_group_IT_number 1
loop_
_space_group_symop_operation_xyz
'x,y,z'
loop_
_atom_site_label
_atom_site_type_symbol
_atom_site_fract_x
_atom_site_fract_y
_atom_site_fract_z
Sr1 Sr 0.000 0.000 0.500
Sr2 Sr 0.000 0.500 0.000
Sr3 Sr 0.500 0.000 0.000
Ru1 Ru 0.000 0.000 0.000
Cl1 Cl 0.500 0.500 0.500
```

Summary:
DOS at the Fermi energy, states/eV per atom: 0.84
Crystal system: cubic
Polymorph energy (0 for the lowest one), eV per formula unit: 0.00
SG: Pm-3m
E, eV per atom: -3.439

(6)
A plane-wave DFT calculation with PBE was carried out for an optimized crystal structure of Sr2RuCl.

The structure in CIF format:
```
data_Sr2RuCl
_cell_length_a 3.946
_cell_length_b 3.946
_cell_length_c 8.633
_cell_angle_alpha 103.25
_cell_angle_beta 103.25
_cell_angle_gamma 59.84
_space_group_name_H-M_alt 'P 1'
_space_group_IT_number 1
loop_
_space_group_symop_operation_xyz
'x,y,z'
loop_
_atom_site_label
_atom_site_type_symbol
_atom_site_fract_x
_atom_site_fract_y
_atom_site_fract_z
Sr1 Sr 0.245 0.245 0.234
Sr2 Sr 0.755 0.755 0.766
Ru1 Ru 0.500 0.500 0.000
Cl1 Cl 0.000 0.000 0.500
```

Summary:
DOS at the Fermi energy, states/eV per atom: 0.51
Crystal system: monoclinic
Polymorph energy (0 for the lowest one), eV per formula unit: 0.20
SG: C2/m
E, eV per atom: -4.121

(7)
A plane-wave DFT calculation with PBE was carried out for an optimized crystal structure of Sr2RuCl.

The structure in CIF format:
```
data_Sr2RuCl
_cell_length_a 5.183
_cell_length_b 6.013
_cell_length_c 6.013
_cell_angle_alpha 34.05
_cell_angle_beta 90.00
_cell_angle_gamma 90.00
_space_group_name_H-M_alt 'P 1'
_space_group_IT_number 1
loop_
_space_group_symop_operation_xyz
'x,y,z'
loop_
_atom_site_label
_atom_site_type_symbol
_atom_site_fract_x
_atom_site_fract_y
_atom_site_fract_z
Sr1 Sr 0.000 0.000 0.000
Sr2 Sr 0.500 0.254 0.254
Ru1 Ru 0.000 0.745 0.745
Cl1 Cl 0.500 0.515 0.515
```

Summary:
DOS at the Fermi energy, states/eV per atom: 0.82
Crystal system: orthorhombic
Polymorph energy (0 for the lowest one), eV per formula unit: 0.48
SG: Amm2
E, eV per atom: -4.052

(8)
A plane-wave DFT calculation with PBE was carried out for an optimized crystal structure of Sr2RuCl.

The structure in CIF format:
```
data_Sr2RuCl
_cell_length_a 4.864
_cell_length_b 6.010
_cell_length_c 3.776
_cell_angle_alpha 90.00
_cell_angle_beta 90.00
_cell_angle_gamma 90.00
_space_group_name_H-M_alt 'P 1'
_space_group_IT_number 1
loop_
_space_group_symop_operation_xyz
'x,y,z'
loop_
_atom_site_label
_atom_site_type_symbol
_atom_site_fract_x
_atom_site_fract_y
_atom_site_fract_z
Sr1 Sr 0.000 0.000 0.000
Sr2 Sr 0.500 0.500 0.499
Ru1 Ru 0.000 0.500 0.998
Cl1 Cl 0.500 0.000 0.500
```

Summary:
DOS at the Fermi energy, states/eV per atom: 0.88
Crystal system: orthorhombic
Polymorph energy (0 for the lowest one), eV per formula unit: 0.42
SG: Pmm2
E, eV per atom: -4.067

(9)
A plane-wave DFT calculation with PBE was carried out for an optimized crystal structure of Sr2RuCl.

The structure in CIF format:
```
data_Sr2RuCl
_cell_length_a 3.573
_cell_length_b 3.573
_cell_length_c 8.113
_cell_angle_alpha 90.00
_cell_angle_beta 90.00
_cell_angle_gamma 90.08
_space_group_name_H-M_alt 'P 1'
_space_group_IT_number 1
loop_
_space_group_symop_operation_xyz
'x,y,z'
loop_
_atom_site_label
_atom_site_type_symbol
_atom_site_fract_x
_atom_site_fract_y
_atom_site_fract_z
Sr1 Sr 0.000 0.000 0.228
Sr2 Sr 0.000 0.000 0.772
Ru1 Ru 0.500 0.500 0.000
Cl1 Cl 0.500 0.500 0.500
```

Summary:
DOS at the Fermi energy, states/eV per atom: 1.00
Crystal system: orthorhombic
Polymorph energy (0 for the lowest one), eV per formula unit: 0.00
SG: Cmmm
E, eV per atom: -4.171

(10)
A plane-wave DFT calculation with PBE was carried out for an optimized crystal structure of Sr2RuCl.

The structure in CIF format:
```
data_Sr2RuCl
_cell_length_a 7.170
_cell_length_b 7.170
_cell_length_c 7.170
_cell_angle_alpha 145.58
_cell_angle_beta 145.58
_cell_angle_gamma 49.47
_space_group_name_H-M_alt 'P 1'
_space_group_IT_number 1
loop_
_space_group_symop_operation_xyz
'x,y,z'
loop_
_atom_site_label
_atom_site_type_symbol
_atom_site_fract_x
_atom_site_fract_y
_atom_site_fract_z
Sr1 Sr 0.000 0.000 0.000
Sr2 Sr 0.750 0.250 0.500
Ru1 Ru 0.500 0.500 0.000
Cl1 Cl 0.250 0.750 0.500
```

Summary:
DOS at the Fermi energy, states/eV per atom: 1.34
Crystal system: tetragonal
Polymorph energy (0 for the lowest one), eV per formula unit: 1.69
SG: I-4m2
E, eV per atom: -3.749

(11)
A plane-wave DFT calculation with PBE was carried out for an optimized crystal structure of Sr2RuCl.

The structure in CIF format:
```
data_Sr2RuCl
_cell_length_a 5.329
_cell_length_b 5.329
_cell_length_c 5.329
_cell_angle_alpha 60.00
_cell_angle_beta 60.00
_cell_angle_gamma 60.00
_space_group_name_H-M_alt 'P 1'
_space_group_IT_number 1
loop_
_space_group_symop_operation_xyz
'x,y,z'
loop_
_atom_site_label
_atom_site_type_symbol
_atom_site_fract_x
_atom_site_fract_y
_atom_site_fract_z
Sr1 Sr 0.250 0.250 0.250
Sr2 Sr 0.750 0.750 0.750
Ru1 Ru 0.000 0.000 0.000
Cl1 Cl 0.500 0.500 0.500
```

Summary:
DOS at the Fermi energy, states/eV per atom: 1.18
Crystal system: cubic
Polymorph energy (0 for the lowest one), eV per formula unit: 1.30
SG: Fm-3m
E, eV per atom: -3.847

(12)
A plane-wave DFT calculation with PBE was carried out for an optimized crystal structure of Sr2RuCl.

The structure in CIF format:
```
data_Sr2RuCl
_cell_length_a 6.970
_cell_length_b 6.970
_cell_length_c 6.970
_cell_angle_alpha 112.87
_cell_angle_beta 112.87
_cell_angle_gamma 102.88
_space_group_name_H-M_alt 'P 1'
_space_group_IT_number 1
loop_
_space_group_symop_operation_xyz
'x,y,z'
loop_
_atom_site_label
_atom_site_type_symbol
_atom_site_fract_x
_atom_site_fract_y
_atom_site_fract_z
Sr1 Sr 0.120 0.125 0.495
Sr2 Sr 0.375 0.880 0.005
Sr3 Sr 0.630 0.625 0.505
Sr4 Sr 0.875 0.370 0.995
Ru1 Ru 0.000 0.000 0.000
Ru2 Ru 0.750 0.250 0.500
Cl1 Cl 0.250 0.750 0.500
Cl2 Cl 0.500 0.500 0.000
```

Summary:
DOS at the Fermi energy, states/eV per atom: 0.83
Crystal system: tetragonal
Polymorph energy (0 for the lowest one), eV per formula unit: 1.38
SG: I-42d
E, eV per atom: -3.826

(13)
A plane-wave DFT calculation with PBE was carried out for an optimized crystal structure of Sr2RuCl.

The structure in CIF format:
```
data_Sr2RuCl
_cell_length_a 5.290
_cell_length_b 5.290
_cell_length_c 5.290
_cell_angle_alpha 60.00
_cell_angle_beta 60.00
_cell_angle_gamma 60.00
_space_group_name_H-M_alt 'P 1'
_space_group_IT_number 1
loop_
_space_group_symop_operation_xyz
'x,y,z'
loop_
_atom_site_label
_atom_site_type_symbol
_atom_site_fract_x
_atom_site_fract_y
_atom_site_fract_z
Sr1 Sr 0.000 0.000 0.000
Sr2 Sr 0.250 0.250 0.250
Ru1 Ru 0.750 0.750 0.750
Cl1 Cl 0.500 0.500 0.500
```

Summary:
DOS at the Fermi energy, states/eV per atom: 1.91
Crystal system: cubic
Polymorph energy (0 for the lowest one), eV per formula unit: 3.57
SG: F-43m
E, eV per atom: -3.280

(14)
A plane-wave DFT calculation with PBE was carried out for an optimized crystal structure of Sr2RuCl.

The structure in CIF format:
```
data_Sr2RuCl
_cell_length_a 8.615
_cell_length_b 8.615
_cell_length_c 8.615
_cell_angle_alpha 155.59
_cell_angle_beta 154.61
_cell_angle_gamma 35.52
_space_group_name_H-M_alt 'P 1'
_space_group_IT_number 1
loop_
_space_group_symop_operation_xyz
'x,y,z'
loop_
_atom_site_label
_atom_site_type_symbol
_atom_site_fract_x
_atom_site_fract_y
_atom_site_fract_z
Sr1 Sr 0.000 0.000 0.000
Sr2 Sr 0.771 0.271 0.500
Ru1 Ru 0.405 0.405 0.000
Cl1 Cl 0.164 0.664 0.500
```

Summary:
DOS at the Fermi energy, states/eV per atom: 0.90
Crystal system: orthorhombic
Polymorph energy (0 for the lowest one), eV per formula unit: 0.42
SG: Imm2
E, eV per atom: -4.067